Entry 1:
{
  "formula": "AgSnBr",
  "functional": "PBE",
  "state": "optimized geometry",
  "cell": [[3.477, -2.007, 0.000], [3.477, 2.007, 0.000], [-2.353, 0.000, 12.422]],
  "species": ["Ag", "Ag", "Sn", "Sn", "Br", "Br"],
  "frac_coords": [[0.190, 0.190, 0.068], [0.810, 0.810, 0.932], [0.096, 0.096, 0.791], [0.904, 0.904, 0.209], [0.377, 0.377, 0.637], [0.623, 0.623, 0.363]],
  "e_form_raw_ev_per_atom": -0.123,
  "crystal_system": "monoclinic"
}


Entry 2:
{
  "formula": "Sc2ZnCo",
  "functional": "PBE",
  "state": "optimized geometry",
  "cell": [[3.172, 0.000, 0.000], [0.000, 3.172, 0.000], [0.000, 0.000, 7.069]],
  "species": ["Sc", "Sc", "Zn", "Co"],
  "frac_coords": [[0.000, 0.000, 0.000], [0.500, 0.500, 0.359], [0.000, 0.000, 0.610], [0.500, 0.500, 0.788]],
  "crystal_system": "tetragonal",
  "e_form_mev_per_atom": -142.5
}


Entry 3:
{
  "formula": "CdTc2As2",
  "functional": "PBE",
  "state": "optimized geometry",
  "cell": [[-1.985, 1.985, 5.695], [1.985, -1.985, 5.695], [1.985, 1.985, -5.695]],
  "species": ["Cd", "Tc", "Tc", "As", "As"],
  "frac_coords": [[0.000, 0.000, 0.000], [0.383, 0.383, 0.000], [0.617, 0.617, 0.000], [0.250, 0.750, 0.500], [0.750, 0.250, 0.500]],
  "crystal_system": "tetragonal",
  "e_above_lowest_polymorph_mev_per_atom": 114,
  "e_form_mev_per_atom": 178.3
}


Entry 4:
{
  "formula": "AlSn2TePt",
  "functional": "PBE",
  "state": "optimized geometry",
  "cell": [[5.319, 0.000, 0.000], [0.000, 5.319, 0.000], [0.000, 0.000, 4.786]],
  "species": ["Al", "Sn", "Sn", "Te", "Pt"],
  "frac_coords": [[0.000, 0.000, 0.000], [0.000, 0.500, 0.500], [0.500, 0.000, 0.500], [0.500, 0.500, 0.000], [0.000, 0.000, 0.500]],
  "e_form_raw_ev_per_atom": -0.215,
  "crystal_system": "tetragonal"
}


| no. | mass density (kg/m³) |
| --- | --- |
| 1 | 5870 |
| 2 | 5003 |
| 3 | 8477 |
| 4 | 7201 |